No. 1
This record from the Alexandria database describes crystalline Zr2TiAuO at its relaxed geometry. The functional is PBE.

The structure in extended XYZ format:
```
5
Lattice="4.515 0.000 0.000 0.000 4.515 0.000 0.000 0.000 4.067" Properties=species:S:1:pos:R:3 pbc="T T T"
Zr 0.000 2.258 0.000
Zr 2.258 0.000 0.000
Ti 0.000 0.000 2.033
Au 2.258 2.258 2.033
O 0.000 0.000 0.000
```

---

No. 2
This record from the Alexandria database describes crystalline Tl3AuO at its relaxed geometry. The functional is PBE.

Computed properties:
Energy relative to the lowest polymorph listed for this composition, meV per atom: 185

The structure in extended XYZ format:
```
5
Lattice="5.075 0.000 0.000 0.000 5.075 0.000 0.000 0.000 5.075" Properties=species:S:1:pos:R:3 pbc="T T T"
Tl 0.000 0.000 2.538
Tl 0.000 2.538 0.000
Tl 2.538 0.000 0.000
Au 2.538 2.538 2.538
O 0.000 0.000 0.000
```

---

No. 3
This record from the Alexandria database describes crystalline Tl6AuO2 at its relaxed geometry. The functional is PBE.

The structure in extended XYZ format:
```
9
Lattice="8.577 -1.801 0.000 8.577 1.801 0.000 -1.459 0.000 7.846" Properties=species:S:1:pos:R:3 pbc="T T T"
Tl -0.142 0.000 2.360
Tl 4.341 0.000 6.818
Tl 5.045 0.000 3.233
Tl 10.650 0.000 4.612
Tl 11.354 0.000 1.027
Tl 15.837 0.000 5.485
Au 8.577 0.000 0.000
O 2.370 0.000 2.792
O 13.325 0.000 5.054
```

---

No. 4
This record from the Alexandria database describes crystalline Tl3AuO3 at its relaxed geometry. The functional is PBE.

The structure in extended XYZ format:
```
14
Lattice="7.718 0.000 0.000 -3.859 6.684 0.000 0.000 0.000 5.301" Properties=species:S:1:pos:R:3 pbc="T T T"
Tl 0.000 2.475 1.325
Tl -1.716 5.446 1.325
Tl 2.143 1.237 3.975
Tl 1.716 5.446 1.325
Tl 5.575 1.237 3.975
Tl 3.859 4.209 3.975
Au 0.000 4.456 3.975
Au 3.859 2.228 1.325
O 0.000 2.182 3.975
O -1.969 5.593 3.975
O 1.890 1.091 1.325
O 1.969 5.593 3.975
O 5.828 1.091 1.325
O 3.859 4.502 1.325
```

---

No. 5
This record from the Alexandria database describes crystalline TlAuO2 at its relaxed geometry. The functional is PBE.

Computed properties:
Energy relative to the lowest polymorph listed for this composition, meV per atom: 0

The structure in extended XYZ format:
```
8
Lattice="3.538 0.000 0.000 -1.769 3.064 0.000 0.000 0.000 12.661" Properties=species:S:1:pos:R:3 pbc="T T T"
Tl 0.000 0.000 0.000
Tl 0.000 0.000 6.330
Au 0.000 2.043 3.165
Au 1.769 1.021 9.496
O 0.000 2.043 1.117
O 0.000 2.043 5.213
O 1.769 1.021 7.447
O 1.769 1.021 11.544
```

---

No. 6
This record from the Alexandria database describes crystalline TlAuO2 at its relaxed geometry. The functional is PBE.

Computed properties:
Energy relative to the lowest polymorph listed for this composition, meV per atom: 653

The structure in extended XYZ format:
```
4
Lattice="0.000 3.010 3.010 3.010 0.000 3.010 3.010 3.010 0.000" Properties=species:S:1:pos:R:3 pbc="T T T"
Tl 0.000 0.000 0.000
Au 3.010 3.010 3.010
O 1.505 1.505 1.505
O 4.515 4.515 4.515
```

---

No. 7
This record from the Alexandria database describes crystalline TlAuO2 at its relaxed geometry. The functional is PBE.

Computed properties:
Energy relative to the lowest polymorph listed for this composition, meV per atom: 2

The structure in extended XYZ format:
```
4
Lattice="1.769 1.022 6.329 -1.769 1.022 6.329 0.000 -2.043 6.329" Properties=species:S:1:pos:R:3 pbc="T T T"
Tl 0.000 0.000 0.000
Au 0.000 0.000 9.494
O 0.000 0.000 7.446
O 0.000 0.000 11.541
```

---

No. 8
This record from the Alexandria database describes crystalline Tl3AuO at its relaxed geometry. The functional is PBE.

Computed properties:
Energy relative to the lowest polymorph listed for this composition, meV per atom: 0

The structure in extended XYZ format:
```
10
Lattice="3.685 0.000 0.000 0.000 9.901 0.000 -1.839 0.000 7.512" Properties=species:S:1:pos:R:3 pbc="T T T"
Tl -0.003 2.475 1.046
Tl 0.002 0.748 5.362
Tl 0.002 4.202 5.362
Tl 1.844 5.699 2.151
Tl 1.844 9.153 2.151
Tl 1.849 7.426 6.466
Au 0.001 7.426 3.854
Au 1.845 2.475 3.658
O -0.001 2.475 7.027
O 1.847 7.426 0.485
```

---

No. 9
This record from the Alexandria database describes crystalline Tl2Au3O8 at its relaxed geometry. The functional is PBE.

The structure in extended XYZ format:
```
13
Lattice="3.937 0.000 0.000 0.055 5.806 0.000 1.158 2.260 9.074" Properties=species:S:1:pos:R:3 pbc="T T T"
Tl 0.465 1.840 1.445
Tl 4.685 6.226 7.629
Au 0.606 4.033 4.537
Au 2.200 4.785 2.076
Au 2.950 3.281 6.998
O 0.896 5.616 3.341
O 1.677 4.217 8.202
O 1.646 3.063 3.049
O 2.687 7.293 7.849
O 2.463 0.773 1.225
O 3.504 5.003 6.025
O 3.474 3.849 0.872
O 4.254 2.450 5.733
```

---

No. 10
This record from the Alexandria database describes crystalline Tl3AuO at its relaxed geometry. The functional is PBE.

Computed properties:
Energy relative to the lowest polymorph listed for this composition, meV per atom: 649

The structure in extended XYZ format:
```
5
Lattice="5.489 0.000 0.000 0.000 5.489 0.000 0.000 0.000 5.489" Properties=species:S:1:pos:R:3 pbc="T T T"
Tl 0.000 0.000 2.744
Tl 0.000 2.744 0.000
Tl 2.744 0.000 0.000
Au 0.000 0.000 0.000
O 2.744 2.744 2.744
```

---

No. 11
This record from the Alexandria database describes crystalline TlAuO2 at its relaxed geometry. The functional is PBE.

Computed properties:
Energy relative to the lowest polymorph listed for this composition, meV per atom: 342

The structure in extended XYZ format:
```
8
Lattice="-2.809 2.809 4.545 2.809 -2.809 4.545 2.809 2.809 -4.545" Properties=species:S:1:pos:R:3 pbc="T T T"
Tl 0.000 0.000 0.000
Tl 0.000 2.809 2.272
Au 2.809 0.000 2.272
Au 0.000 0.000 4.545
O 4.214 1.310 -1.136
O 1.310 1.405 1.136
O -1.405 1.499 3.409
O 1.499 1.405 5.681
```

---

No. 12
This record from the Alexandria database describes crystalline Tl12AuO5 at its relaxed geometry. The functional is PBE.

The structure in extended XYZ format:
```
18
Lattice="3.235 -5.588 0.000 3.235 5.588 0.000 -2.085 0.000 12.749" Properties=species:S:1:pos:R:3 pbc="T T T"
Tl 1.084 1.851 1.465
Tl -0.256 0.000 4.776
Tl 0.954 2.100 7.984
Tl 0.085 0.000 11.282
Tl 1.084 -1.851 1.465
Tl 3.432 2.100 4.765
Tl 0.954 -2.100 7.984
Tl 3.302 1.851 11.284
Tl 4.300 0.000 1.466
Tl 3.432 -2.100 4.765
Tl 4.641 0.000 7.973
Tl 3.302 -1.851 11.284
Au 2.193 0.000 6.374
O 0.000 0.000 0.000
O 2.193 3.701 6.374
O 3.235 1.886 0.000
O 3.235 -1.886 0.000
O 2.193 -3.701 6.374
```

---

no.,raw formation energy (eV/atom),ρ (Mg/m³),total energy (eV per atom)
1,-1.2589,8.877,-7.904
2,-0.0848,10.494,-3.152
3,-0.3795,9.972,-3.423
4,-0.2738,10.423,-3.881
5,-0.4183,10.486,-4.308
6,0.2344,13.189,-3.656
7,-0.4167,10.484,-4.307
8,-0.2701,10.010,-3.337
9,-0.1764,9.027,-4.348
10,0.3791,8.295,-2.688
11,-0.0766,10.031,-3.967
12,-0.4524,9.833,-3.589